# YIN2F, optimized geometry, DFT PBE
# distance to the lowest polymorph of the same formula	404	meV/atom
# M_tot	0.00	μB per formula unit
# ΔE_f (raw)	1.99	eV/f.u.
data_YIN2F
_cell_length_a 4.281
_cell_length_b 4.281
_cell_length_c 4.408
_cell_angle_alpha 90.00
_cell_angle_beta 90.00
_cell_angle_gamma 90.00
_symmetry_space_group_name_H-M 'P 4/m m m'
_symmetry_Int_Tables_number 123
_symmetry_space_group_name_Hall '-P 4 2'
loop_
_atom_site_label
_atom_site_type_symbol
_atom_site_fract_x
_atom_site_fract_y
_atom_site_fract_z
Y1 Y 0.000 0.000 0.000
I1 I 0.500 0.500 0.500
N1 N 0.000 0.500 0.500
F1 F 0.500 0.500 0.000